A relaxed LaNd5Cd4 crystal, computed with PBE-GGA.

Computed properties:
- N(E_F): 13.2 states/eV/cell
- Formation energy from the elements: -0.250 eV/atom
- Total magnetic moment: 1.2 Bohr magnetons per cell

Unit cell a=3.8282 b=3.8282 c=20.5838 alpha=90.00 beta=90.00 gamma=90.00
Closest atoms and distances in Å follow each position.
Space group P4/mmm (No. 123)
Unique sites:
1 La 0.0000 0.0000 0.0000 (multiplicity 1)  8 Nd 3.69, 4 La 3.83
2 Nd 0.5000 0.5000 0.1218 (multiplicity 2)  4 Cd 3.32, 4 La 3.69
3 Nd 0.5000 0.5000 0.3113 (multiplicity 2)  8 Cd 3.33-3.36
4 Nd 0.5000 0.5000 0.5000 (multiplicity 1)  8 Cd 3.34
5 Cd 0.0000 0.0000 0.2148 (multiplicity 2)  8 Nd 3.32-3.36
6 Cd 0.0000 0.0000 0.4051 (multiplicity 2)  8 Nd 3.33-3.34



A relaxed EuLuAgRu crystal, computed with PBE-GGA.

Computed properties:
- N(E_F): 43.4 states/eV/cell
- Formation energy from the elements: -0.152 eV/atom
- Total magnetic moment: 27.5 Bohr magnetons per cell

Unit cell a=7.0396 b=7.0396 c=7.0396 alpha=90.00 beta=90.00 gamma=90.00
Closest atoms and distances in Å follow each position.
Space group F-43m (No. 216)
Unique sites:
1 Eu 0.0000 0.0000 0.0000 (multiplicity 4)  4 Ru 3.05, 4 Ag 3.05
2 Lu 0.0000 0.0000 0.5000 (multiplicity 4)  4 Ru 3.05, 4 Ag 3.05
3 Ag 0.2500 0.2500 0.7500 (multiplicity 4)  4 Eu 3.05, 4 Lu 3.05
4 Ru 0.2500 0.2500 0.2500 (multiplicity 4)  4 Eu 3.05, 4 Lu 3.05



A relaxed LaErGeS crystal, computed with PBE-GGA.

Computed properties:
- N(E_F): 5.0 states/eV/cell
- Uncorrected formation energy: -1.44 eV per atom
- Total magnetic moment: 0.0 Bohr magnetons per cell

Unit cell a=4.1633 b=4.1633 c=20.3789 alpha=90.00 beta=90.00 gamma=120.00
Closest atoms and distances in Å follow each position.
Space group R3m (No. 160, hexagonal axes)
Unique sites:
1 La 0.0000 0.0000 0.0000 (multiplicity 3)  3 Ge 3.00, 3 S 3.02
2 Er 0.0000 0.0000 0.4999 (multiplicity 3)  3 S 2.88, 3 Ge 2.88
3 Ge 0.0000 0.0000 0.7551 (multiplicity 3)  3 Er 2.88, 3 La 3.00
4 S 0.0000 0.0000 0.2440 (multiplicity 3)  3 Er 2.87-2.88, 3 La 3.02



A relaxed Tb6SmDyEr2 crystal, computed with PBE-GGA.

Computed properties:
- N(E_F): 57.7 states/eV/cell
- Formation energy from the elements: 0.120 eV/atom
- Total magnetic moment: 0.0 Bohr magnetons per cell

Unit cell a=9.0825 b=15.0197 c=9.5328 alpha=90.00 beta=97.19 gamma=90.00
Closest atoms and distances in Å follow each position.
Space group C2/c (No. 15)
Unique sites:
1 Tb 0.0632 0.1843 0.4441 (multiplicity 8)  7 Tb 3.39-3.73, 1 Er 3.49, 1 Sm 3.67
2 Tb 0.0998 0.3918 0.6194 (multiplicity 8)  4 Tb 3.21-3.53, 3 Er 3.26-3.41, 2 Dy 3.40-3.53
3 Tb 0.2085 0.2256 0.8167 (multiplicity 8)  3 Tb 3.21-3.56, 1 Er 3.39, 1 Dy 3.46, 1 Sm 3.56
4 Sm 0.0000 0.0258 0.7500 (multiplicity 4)  4 Er 3.38-3.42, 4 Tb 3.56-3.67
5 Dy 0.0000 0.4093 0.2500 (multiplicity 4)  6 Tb 3.40-3.53, 2 Er 3.52
6 Er 0.2493 0.4481 0.9542 (multiplicity 8)  6 Tb 3.26-3.59, 2 Sm 3.38-3.42, 1 Dy 3.52



Number 1: uncorrected energy -3.493 eV/atom. Number 2: uncorrected energy -6.883 eV/atom. Number 3: uncorrected energy -6.000 eV/atom. Number 4: uncorrected energy -4.503 eV/atom.